# 1
Li2Ca2Rh | PBE | optimized geometry

Output
density of states at the Fermi level = 5.15 states/eV/cell
magnetic moment = 0.000 μB/cell
VASP energy = -30.4 eV/cell
energy of formation from the pure elements = -0.01 eV/atom
symmetry = P4/mbm

Cell lengths 6.8727, 6.8727, 4.7080 Å; angles 90.00, 90.00, 90.00 degrees
Closest atoms and distances in Å follow each position.
Fractional positions:
Li 0.1357 0.3643 0.0000  1 Li 2.64, 2 Rh 2.67, 2 Ca 2.87
Li 0.3643 0.8643 0.0000  1 Li 2.64, 2 Rh 2.67, 2 Ca 2.87
Li 0.6357 0.1357 0.0000  1 Li 2.64, 2 Rh 2.67, 2 Ca 2.87
Li 0.8643 0.6357 0.0000  1 Li 2.64, 2 Rh 2.67, 2 Ca 2.87
Ca 0.1957 0.6957 0.5000  2 Li 2.87
Ca 0.3043 0.1957 0.5000  2 Li 2.87
Ca 0.6957 0.8043 0.5000  2 Li 2.87
Ca 0.8043 0.3043 0.5000  2 Li 2.87
Rh 0.0000 0.0000 0.0000  4 Li 2.67
Rh 0.5000 0.5000 0.0000  4 Li 2.67


# 2
Li5Ca2Rh5 | PBE | optimized geometry

Output
density of states at the Fermi level = 7.85 states/eV/cell
magnetic moment = 0.001 μB/cell
VASP energy = -52.5 eV/cell
energy of formation from the pure elements = -0.18 eV/atom
symmetry = Pmmm

Cell lengths 4.2147, 5.1168, 9.2716 Å; angles 90.00, 90.00, 90.00 degrees
Closest atoms and distances in Å follow each position.
Fractional positions:
Li 0.0000 0.0000 0.0000  4 Rh 2.63, 4 Li 2.71
Li 0.5000 0.0000 0.1836  4 Rh 2.53, 2 Li 2.71
Li 0.5000 0.0000 0.8164  4 Rh 2.53, 2 Li 2.71
Li 0.5000 0.5000 0.3340  6 Rh 2.59-2.61
Li 0.5000 0.5000 0.6660  6 Rh 2.59-2.61
Ca 0.5000 0.0000 0.5000  6 Li 2.93-2.99
Ca 0.5000 0.5000 0.0000  10 Li 3.07-3.31, 8 Rh 3.38
Rh 0.0000 0.2482 0.2488  5 Li 2.53-2.63, 3 Rh 2.54-2.66
Rh 0.0000 0.2482 0.7512  5 Li 2.53-2.63, 3 Rh 2.54-2.66
Rh 0.0000 0.5000 0.5000  4 Li 2.61, 4 Rh 2.66
Rh 0.0000 0.7518 0.2488  5 Li 2.53-2.63, 3 Rh 2.54-2.66
Rh 0.0000 0.7518 0.7512  5 Li 2.53-2.63, 3 Rh 2.54-2.66


# 3
LiCa4Rh2 | PBE | optimized geometry

Output
density of states at the Fermi level = 9.40 states/eV/cell
magnetic moment = 0.000 μB/cell
VASP energy = -52.4 eV/cell
energy of formation from the pure elements = -0.22 eV/atom
symmetry = P1

Cell lengths 7.2577, 7.2595, 8.1677 Å; angles 73.91, 73.91, 71.69 degrees
Closest atoms and distances in Å follow each position.
Fractional positions:
Li 0.0000 0.0000 0.0000  2 Rh 2.52
Li 0.0035 0.0014 0.4910  7 Ca 3.21-3.49
Ca 0.1894 0.6467 0.7883  4 Rh 2.93-3.14, 2 Li 3.22-3.24
Ca 0.2085 0.6512 0.2802  3 Rh 2.85-3.05
Ca 0.2167 0.2167 0.6558  3 Rh 2.95-2.99, 2 Li 3.08-3.24
Ca 0.2182 0.2174 0.1193  3 Rh 2.93-3.06, 2 Li 3.04-3.22
Ca 0.6472 0.1893 0.7878  4 Rh 2.93-3.15, 2 Li 3.22-3.25
Ca 0.6520 0.2085 0.2806  3 Rh 2.85-3.05
Ca 0.6871 0.6871 0.6554  4 Rh 2.94-3.06
Ca 0.6899 0.6902 0.1473  4 Rh 2.95-3.07
Rh 0.3743 0.8931 0.9308  1 Li 2.52, 1 Rh 2.69
Rh 0.4862 0.4867 0.5031  7 Ca 2.85-3.07
Rh 0.4944 0.4938 0.9980  2 Rh 2.69, 6 Ca 2.87-2.95
Rh 0.8935 0.3742 0.9310  1 Li 2.52, 1 Rh 2.69


# 4
LiCaRh4 | PBE | optimized geometry

Output
density of states at the Fermi level = 9.11 states/eV/cell
magnetic moment = 0.014 μB/cell
VASP energy = -34.3 eV/cell
energy of formation from the pure elements = -0.17 eV/atom
symmetry = F-43m

Cell lengths 5.2485, 5.2485, 5.2485 Å; angles 60.00, 60.00, 60.00 degrees
Closest atoms and distances in Å follow each position.
Fractional positions:
Li 0.0000 0.0000 0.0000  12 Rh 3.08, 4 Ca 3.21
Ca 0.2500 0.2500 0.2500  12 Rh 3.08, 4 Li 3.21
Rh 0.1239 0.6254 0.6254  6 Rh 2.62-2.63
Rh 0.6254 0.1239 0.6254  6 Rh 2.62-2.63
Rh 0.6254 0.6254 0.1239  6 Rh 2.62-2.63
Rh 0.6254 0.6254 0.6254  6 Rh 2.62-2.63


# 5
LiCa4Rh | PBE | optimized geometry

Output
density of states at the Fermi level = 7.90 states/eV/cell
magnetic moment = 0.000 μB/cell
VASP energy = -37.0 eV/cell
energy of formation from the pure elements = -0.21 eV/atom
symmetry = C2/c

Cell lengths 8.1844, 8.1844, 6.4035 Å; angles 101.04, 101.04, 111.24 degrees
Closest atoms and distances in Å follow each position.
Fractional positions:
Li 0.1239 0.8761 0.7500  8 Ca 3.36-3.76
Li 0.8761 0.1239 0.2500  8 Ca 3.36-3.76
Ca 0.1491 0.3039 0.8706  2 Rh 3.04-3.07, 1 Li 3.36
Ca 0.2299 0.5630 0.4457  2 Rh 2.89-2.92
Ca 0.3039 0.1491 0.3706  2 Rh 3.04-3.07, 1 Li 3.36
Ca 0.4370 0.7701 0.0543  2 Rh 2.89-2.92
Ca 0.5630 0.2299 0.9457  2 Rh 2.89-2.92
Ca 0.6961 0.8509 0.6294  2 Rh 3.04-3.07, 1 Li 3.36
Ca 0.7701 0.4370 0.5543  2 Rh 2.89-2.92
Ca 0.8509 0.6961 0.1294  2 Rh 3.04-3.07, 1 Li 3.36
Rh 0.4997 0.5003 0.2500  8 Ca 2.89-3.07, 2 Rh 3.20
Rh 0.5003 0.4997 0.7500  8 Ca 2.89-3.07, 2 Rh 3.20


# 6
LiCa2Rh | PBE | optimized geometry

Output
density of states at the Fermi level = 2.24 states/eV/cell
magnetic moment = 0.000 μB/cell
VASP energy = -13.9 eV/cell
energy of formation from the pure elements = -0.17 eV/atom
symmetry = P1

Cell lengths 3.4431, 5.0288, 6.4627 Å; angles 112.45, 105.13, 90.27 degrees
Closest atoms and distances in Å follow each position.
Fractional positions:
Li 0.0000 0.0000 0.0000  2 Rh 2.61-2.62
Ca 0.6256 0.6259 0.2498  2 Rh 2.89-2.90
Ca 0.8269 0.3240 0.6496  4 Rh 3.04-3.05, 2 Li 3.20-3.23, 1 Ca 3.40
Rh 0.3291 0.8265 0.6561  2 Li 2.61-2.62, 2 Ca 2.89-2.90


# 7
LiCa2Rh | PBE | optimized geometry

Output
density of states at the Fermi level = 1.27 states/eV/cell
magnetic moment = 0.000 μB/cell
VASP energy = -13.9 eV/cell
energy of formation from the pure elements = -0.17 eV/atom
symmetry = P4/mmm

Cell lengths 5.0389, 5.0389, 3.6080 Å; angles 90.00, 90.00, 90.00 degrees
Closest atoms and distances in Å follow each position.
Fractional positions:
Li 0.0000 0.0000 0.0000  8 Ca 3.10
Ca 0.0000 0.5000 0.5000  4 Li 3.10, 4 Rh 3.10
Ca 0.5000 0.0000 0.5000  4 Li 3.10, 4 Rh 3.10
Rh 0.5000 0.5000 0.0000  8 Ca 3.10


# 8
LiCa2Rh | PBE | optimized geometry

Output
density of states at the Fermi level = 1.11 states/eV/cell
magnetic moment = 0.000 μB/cell
VASP energy = -13.4 eV/cell
energy of formation from the pure elements = -0.03 eV/atom
symmetry = F-43m

Cell lengths 4.9919, 4.9919, 4.9919 Å; angles 60.00, 60.00, 60.00 degrees
Closest atoms and distances in Å follow each position.
Fractional positions:
Li 0.0000 0.0000 0.0000  4 Ca 3.06, 4 Rh 3.06
Ca 0.2500 0.2500 0.2500  4 Li 3.06, 4 Ca 3.06
Ca 0.5000 0.5000 0.5000  4 Ca 3.06, 4 Rh 3.06
Rh 0.7500 0.7500 0.7500  4 Ca 3.06, 4 Li 3.06


# 9
Li2Ca8Rh3 | PBE | optimized geometry

Output
density of states at the Fermi level = 5.31 states/eV/cell
magnetic moment = 0.000 μB/cell
VASP energy = -43.8 eV/cell
energy of formation from the pure elements = -0.14 eV/atom
symmetry = P2/m

Cell lengths 9.0826, 5.0493, 9.1044 Å; angles 90.00, 112.89, 90.00 degrees
Closest atoms and distances in Å follow each position.
Fractional positions:
Li 0.2407 0.0000 0.2581  8 Ca 3.21-3.42
Li 0.7593 0.0000 0.7419  8 Ca 3.21-3.42
Ca 0.1071 0.5000 0.3933  4 Rh 3.00, 1 Ca 3.24, 2 Li 3.24
Ca 0.1411 0.0000 0.8551  3 Rh 2.98-3.00, 1 Li 3.21, 1 Ca 3.25
Ca 0.3557 0.0000 0.6402  3 Rh 2.98-3.01, 1 Li 3.22, 1 Ca 3.25
Ca 0.3909 0.5000 0.1089  2 Rh 3.00, 1 Ca 3.30
Ca 0.6091 0.5000 0.8911  2 Rh 3.00, 1 Ca 3.30
Ca 0.6443 0.0000 0.3598  3 Rh 2.98-3.01, 1 Li 3.22, 1 Ca 3.25
Ca 0.8589 0.0000 0.1449  3 Rh 2.98-3.00, 1 Li 3.21, 1 Ca 3.25
Ca 0.8929 0.5000 0.6067  4 Rh 3.00, 1 Ca 3.24, 2 Li 3.24
Rh 0.0000 0.0000 0.5000  8 Ca 2.98-3.00
Rh 0.2510 0.5000 0.7507  8 Ca 3.00-3.01
Rh 0.7490 0.5000 0.2493  8 Ca 3.00-3.01


# 10
Li2Ca2Rh | PBE | optimized geometry

Output
density of states at the Fermi level = 5.06 states/eV/cell
magnetic moment = 0.000 μB/cell
VASP energy = -32.1 eV/cell
energy of formation from the pure elements = -0.17 eV/atom
symmetry = P-1

Cell lengths 4.1252, 5.8064, 11.0842 Å; angles 90.11, 100.71, 110.80 degrees
Closest atoms and distances in Å follow each position.
Fractional positions:
Li 0.1409 0.1763 0.1066  1 Rh 2.60, 1 Li 2.90
Li 0.3536 0.1574 0.5489  3 Rh 2.67-2.76, 2 Li 2.83-2.84
Li 0.6464 0.8426 0.4511  3 Rh 2.67-2.76, 2 Li 2.83-2.84
Li 0.8591 0.8237 0.8934  1 Rh 2.60, 1 Li 2.90
Ca 0.1575 0.6511 0.6636  3 Rh 2.98-3.31, 5 Li 3.10-3.33
Ca 0.4537 0.7583 0.1493  2 Rh 2.85, 3 Li 3.13-3.16
Ca 0.5463 0.2417 0.8507  2 Rh 2.85, 3 Li 3.13-3.16
Ca 0.8425 0.3489 0.3364  3 Rh 2.98-3.31, 5 Li 3.10-3.33
Rh 0.1300 0.9521 0.3090  4 Li 2.60-2.76, 2 Ca 2.85
Rh 0.8700 0.0479 0.6910  4 Li 2.60-2.76, 2 Ca 2.85


# 11
LiCaRh3 | PBE | optimized geometry

Output
density of states at the Fermi level = 6.53 states/eV/cell
magnetic moment = 1.691 μB/cell
VASP energy = -19.5 eV/cell
energy of formation from the pure elements = 1.29 eV/atom
symmetry = Pm-3m

Cell lengths 4.8384, 4.8384, 4.8384 Å; angles 90.00, 90.00, 90.00 degrees
Closest atoms and distances in Å follow each position.
Fractional positions:
Li 0.0000 0.0000 0.0000  12 Rh 3.42
Ca 0.5000 0.5000 0.5000  6 Rh 2.42
Rh 0.0000 0.5000 0.5000  2 Ca 2.42
Rh 0.5000 0.0000 0.5000  2 Ca 2.42
Rh 0.5000 0.5000 0.0000  2 Ca 2.42


# 12
Li3Ca2Rh2 | PBE | optimized geometry

Output
density of states at the Fermi level = 2.33 states/eV/cell
magnetic moment = 0.000 μB/cell
VASP energy = -26.1 eV/cell
energy of formation from the pure elements = -0.24 eV/atom
symmetry = C2/m

Cell lengths 5.5117, 5.5117, 6.5826 Å; angles 104.34, 104.34, 46.43 degrees
Closest atoms and distances in Å follow each position.
Fractional positions:
Li 0.0000 0.0000 0.0000  2 Rh 2.56
Li 0.3016 0.3016 0.1182  2 Rh 2.62, 2 Li 2.71
Li 0.6984 0.6984 0.8818  2 Rh 2.62, 2 Li 2.71
Ca 0.3811 0.3811 0.6390  5 Rh 2.96-3.06, 4 Li 3.18-3.30
Ca 0.6189 0.6189 0.3610  5 Rh 2.96-3.06, 4 Li 3.18-3.30
Rh 0.0964 0.0964 0.6781  3 Li 2.56-2.62, 1 Rh 2.62
Rh 0.9036 0.9036 0.3219  3 Li 2.56-2.62, 1 Rh 2.62


Among the records above, which one has the highest VASP energy? number 8